[1]
This record from the Alexandria database describes a geometry-optimized K2InHgF6 structure. The functional is PBE-GGA.

## Properties
E above lowest polymorph: 0.010 eV/atom

Lattice parameters (Å, degrees): 9.223 9.223 9.223 90.00 90.00 90.00
Space group Fm-3m (No. 225)
Asymmetric unit:
K  0.250  0.250  0.250 [8 per cell]
In  0.000  0.000  0.000 [4 per cell]
Hg  0.000  0.000  0.500 [4 per cell]
F  0.000  0.000  0.229 [24 per cell]

[2]
This record from the Alexandria database describes a geometry-optimized LaIn2HgF structure. The functional is PBE-GGA.

Lattice parameters (Å, degrees): 5.095 5.095 4.968 90.00 90.00 90.00
Space group P4/mmm (No. 123)
Asymmetric unit:
La  0.000  0.000  0.000 [1 per cell]
In  0.000  0.500  0.500 [2 per cell]
Hg  0.500  0.500  0.000 [1 per cell]
F  0.000  0.000  0.500 [1 per cell]

Total DFT energy (no corrections)
In order: -3.926; -3.414
Unit: eV/atom